P | TbHoScZn PBE-GGA optimized geometry; total moment = 0.00 μB per formula unit; crystal system = cubic
1.0
5.209 0.000 0.000
2.604 4.511 0.000
2.604 1.504 4.253
Sc Zn Ho Tb
1 1 1 1
direct
0.750 0.750 0.750
0.250 0.250 0.250
0.000 0.000 0.000
0.500 0.500 0.500



Q | TbHoScZn PBE-GGA optimized geometry; total moment = 0.00 μB per formula unit; crystal system = tetragonal
1.0
-2.427 1.323 2.176
0.916 -2.351 2.451
5.560 5.281 2.989
Ho Sc Zn Tb
1 1 1 1
direct
0.500 0.500 0.353
0.000 0.000 0.073
0.000 0.000 0.568
0.500 0.500 0.790



The least stable of them is P.



P | Ho2ScTc PBE-GGA optimized geometry; total moment = 0.00 μB per formula unit; crystal system = orthorhombic
1.0
-4.617 -2.649 -3.045
3.696 0.603 -6.129
3.695 -8.087 1.432
Ho Tc Sc
8 4 4
direct
0.838 0.321 0.562
0.162 0.679 0.062
0.838 0.321 0.938
0.162 0.679 0.438
0.338 0.179 0.062
0.338 0.179 0.438
0.662 0.821 0.938
0.662 0.821 0.562
0.978 0.618 0.750
0.022 0.382 0.250
0.478 0.882 0.250
0.522 0.118 0.750
0.634 0.546 0.250
0.134 0.954 0.750
0.366 0.454 0.750
0.866 0.046 0.250



Q | Ho2ScTc PBE-GGA optimized geometry; total moment = 0.80 μB per formula unit; crystal system = tetragonal
1.0
-2.240 -2.294 1.277
2.031 -0.449 2.754
-3.936 6.005 3.883
Tc Ho Sc
1 2 1
direct
0.500 0.500 0.000
0.000 0.000 0.801
0.000 0.000 0.199
0.500 0.500 0.500



R | Ho2ScTc PBE-GGA optimized geometry; total moment = 0.00 μB per formula unit; crystal system = trigonal
1.0
-0.489 3.223 -0.695
-2.683 1.574 1.197
4.345 4.271 8.761
Tc Sc Ho
1 1 2
direct
0.500 0.500 0.500
0.000 0.000 0.000
0.899 0.899 0.304
0.101 0.101 0.696



The least stable of them is R.



P | HoScTe PBE-GGA optimized geometry; total moment = 0.00 μB per formula unit; crystal system = trigonal
1.0
-1.591 -3.473 0.509
0.411 -0.898 -4.842
3.676 -1.235 3.063
Ho Te Sc
1 1 1
direct
0.626 0.667 0.333
0.245 0.333 0.667
0.129 0.000 0.000



Q | HoScTe PBE-GGA optimized geometry; total moment = 0.00 μB per formula unit; crystal system = monoclinic
1.0
-2.407 3.156 -0.043
-1.209 -0.819 7.503
9.744 4.934 -0.049
Sc Ho Te
4 4 4
direct
0.186 0.007 0.373
0.276 0.649 0.553
0.724 0.351 0.447
0.814 0.993 0.627
0.533 0.738 0.066
0.897 0.549 0.795
0.467 0.262 0.934
0.103 0.451 0.205
0.596 0.130 0.193
0.317 0.283 0.635
0.683 0.717 0.365
0.404 0.870 0.807



The least stable of them is P.